1.
A PBEsol-optimized structure of SrTe2Os, computed with SCAN.

a b c (Å): 3.4591 3.4591 7.7913
angles (deg): 90.00 90.00 90.00
Closest atoms and distances in Å follow each position.
Space group P4/mmm (No. 123)
Symmetry-distinct sites (fractional):
Sr 0.0000 0.0000 0.0000  8 Te 3.38, 4 Sr 3.46
Te 0.5000 0.5000 0.2991  4 Os 2.90, 1 Te 3.13
Os 0.0000 0.0000 0.5000  8 Te 2.90

The density of states at the Fermi level is 0.6291 states/eV per atom. Its uncorrected energy is -41.92 eV/atom. As for the calculated volume: 93.2 Å³ per cell. As for the calculated density: 9.49 g cm⁻³. As for the uncorrected formation energy: 0.246 eV/atom. The distance to the lowest polymorph of the same formula comes out at 426 meV/atom.

2.
A PBEsol-optimized structure of SrTeOs4, computed with SCAN.

a b c (Å): 7.5525 7.5525 7.5525
angles (deg): 90.00 90.00 90.00
Closest atoms and distances in Å follow each position.
Space group F-43m (No. 216)
Symmetry-distinct sites (fractional):
Sr 0.0000 0.0000 0.0000  12 Os 3.13, 4 Te 3.27
Te 0.2500 0.2500 0.2500  12 Os 3.13, 4 Sr 3.27
Os 0.1245 0.1245 0.6245  6 Os 2.66-2.68

The density of states at the Fermi level is 1.4690 states/eV per atom. Its uncorrected energy is -57.11 eV/atom. As for the calculated volume: 430.8 Å³ per cell. As for the calculated density: 15.05 g cm⁻³. As for the uncorrected formation energy: 0.735 eV/atom.

3.
A PBEsol-optimized structure of SrTe2Os, computed with SCAN.

a b c (Å): 3.8068 4.8637 12.4232
angles (deg): 90.00 90.00 90.00
Closest atoms and distances in Å follow each position.
Space group Amm2 (No. 38)
Symmetry-distinct sites (fractional):
Sr 0.0000 0.0000 0.0000  4 Os 3.21, 6 Te 3.50-3.54
Te 0.0000 0.0000 0.7070  2 Os 2.54
Te 0.5000 0.0000 0.3675  1 Os 2.53
Os 0.5000 0.0000 0.5713  3 Te 2.53-2.54

The density of states at the Fermi level is 0.7587 states/eV per atom. Its uncorrected energy is -42.34 eV/atom. As for the calculated volume: 230.0 Å³ per cell. As for the calculated density: 7.70 g cm⁻³. As for the uncorrected formation energy: -0.180 eV/atom. The distance to the lowest polymorph of the same formula comes out at 0 meV/atom.

4.
A PBEsol-optimized structure of Sr2TeOs, computed with SCAN.

a b c (Å): 4.4789 4.4789 23.9876
angles (deg): 90.00 90.00 120.00
Closest atoms and distances in Å follow each position.
Space group R3m (No. 160, hexagonal axes)
Symmetry-distinct sites (fractional):
Sr 0.0000 0.0000 0.0000  3 Os 3.29, 3 Te 3.30
Sr 0.0000 0.0000 0.1702  3 Te 3.29, 3 Os 3.30
Te 0.0000 0.0000 0.7522  3 Os 2.59
Os 0.0000 0.0000 0.4179  3 Te 2.59

The density of states at the Fermi level is 0.9099 states/eV per atom. Its uncorrected energy is -38.64 eV/atom. As for the calculated volume: 416.7 Å³ per cell. As for the calculated density: 5.89 g cm⁻³. As for the uncorrected formation energy: -0.222 eV/atom.

5.
A PBEsol-optimized structure of SrTi2Os, computed with SCAN.

a b c (Å): 6.5854 6.5854 6.5854
angles (deg): 90.00 90.00 90.00
Closest atoms and distances in Å follow each position.
Space group Fm-3m (No. 225)
Symmetry-distinct sites (fractional):
Sr 0.0000 0.0000 0.0000  8 Ti 2.85
Ti 0.2500 0.2500 0.2500  4 Os 2.85, 4 Sr 2.85
Os 0.0000 0.0000 0.5000  8 Ti 2.85

As for the formation energy: 403 meV/atom. The density of states at the Fermi level is 1.4589 states/eV per atom. Its uncorrected energy is -31.15 eV/atom. As for the calculated volume: 285.6 Å³ per cell. As for the calculated density: 8.69 g cm⁻³.

6.
A PBEsol-optimized structure of Sr2TlOs, computed with SCAN.

a b c (Å): 3.5233 3.5233 30.4772
angles (deg): 90.00 90.00 120.00
Closest atoms and distances in Å follow each position.
Space group R-3m (No. 166, hexagonal axes)
Symmetry-distinct sites (fractional):
Sr 0.0000 0.0000 0.2372  3 Os 2.96
Tl 0.0000 0.0000 0.0000  6 Tl 3.52, 6 Sr 3.57
Os 0.0000 0.0000 0.5000  6 Sr 2.96

As for the formation energy: 585 meV/atom. The density of states at the Fermi level is 0.6595 states/eV per atom. Its uncorrected energy is -46.61 eV/atom. As for the calculated volume: 327.6 Å³ per cell. As for the calculated density: 8.66 g cm⁻³. The distance to the lowest polymorph of the same formula comes out at 165 meV/atom.